# 1
Computed, not measured: a relaxed AlV2Si crystal at the PBE level of DFT.

Cell: 4.691 6.831 6.786 Å, 90.00 90.00 90.00°
Space group Ama2 (No. 40)
Inequivalent atoms, fractional coordinates:
Al 0.250 0.133 0.000 [4 per cell]
V 0.000 0.000 0.617 [4 per cell]
V 0.250 0.378 0.743 [4 per cell]
Si 0.250 0.235 0.369 [4 per cell]

Output
Volume   13.6 Å³/atom
Electronic total energy   -114.494 eV per cell
Polymorph energy (0 for the lowest one)   6 meV/atom


# 2
Computed, not measured: a relaxed Al2V4Si crystal at the PBE level of DFT.

Cell: 4.339 4.339 13.310 Å, 90.00 90.00 90.00°
Space group I4/mmm (No. 139)
Inequivalent atoms, fractional coordinates:
Al 0.000 0.000 0.124 [4 per cell]
V 0.000 0.000 0.323 [4 per cell]
V 0.000 0.500 0.000 [4 per cell]
Si 0.000 0.000 0.500 [2 per cell]

Output
Volume   17.9 Å³/atom
Electronic total energy   -90.775 eV per cell
Polymorph energy (0 for the lowest one)   522 meV/atom


# 3
Computed, not measured: a relaxed Al2V4Si crystal at the PBE level of DFT.

Cell: 4.591 17.209 2.577 Å, 90.00 90.00 90.00°
Space group Cmmm (No. 65)
Inequivalent atoms, fractional coordinates:
Al 0.000 0.210 0.000 [4 per cell]
V 0.000 0.073 0.500 [4 per cell]
V 0.000 0.369 0.000 [4 per cell]
Si 0.000 0.500 0.500 [2 per cell]

Output
Volume   14.5 Å³/atom
Electronic total energy   -98.089 eV per cell
Polymorph energy (0 for the lowest one)   0 meV/atom


# 4
Computed, not measured: a relaxed AlV2Si crystal at the PBE level of DFT.

Cell: 4.777 4.892 5.190 Å, 93.00 92.28 115.63°
Space group P-1 (No. 2)
Inequivalent atoms, fractional coordinates:
Al 0.026 0.259 0.402 [2 per cell]
V 0.025 0.758 0.093 [2 per cell]
V 0.496 0.222 0.664 [2 per cell]
Si 0.482 0.721 0.839 [2 per cell]

Output
Volume   13.6 Å³/atom
Electronic total energy   -57.118 eV per cell
Polymorph energy (0 for the lowest one)   22 meV/atom


# 5
Computed, not measured: a relaxed Al2VSiW crystal at the PBE level of DFT.

Cell: 4.490 4.490 4.324 Å, 90.00 90.00 90.00°
Space group P4/mmm (No. 123)
Inequivalent atoms, fractional coordinates:
Al 0.000 0.500 0.000 [2 per cell]
V 0.000 0.000 0.500 [1 per cell]
Si 0.000 0.000 0.000 [1 per cell]
W 0.500 0.500 0.500 [1 per cell]

Output
Volume   17.4 Å³/atom
Electronic total energy   -29.078 eV per cell


# 6
Computed, not measured: a relaxed AlVSiW2 crystal at the PBE level of DFT.

Cell: 4.519 4.519 4.327 Å, 90.00 90.00 90.00°
Space group P4/mmm (No. 123)
Inequivalent atoms, fractional coordinates:
Al 0.000 0.000 0.000 [1 per cell]
V 0.500 0.500 0.000 [1 per cell]
Si 0.500 0.500 0.500 [1 per cell]
W 0.000 0.500 0.500 [2 per cell]

Output
Volume   17.7 Å³/atom
Electronic total energy   -39.111 eV per cell


# 7
Computed, not measured: a relaxed AlV2SiW crystal at the PBE level of DFT.

Cell: 4.364 4.364 4.340 Å, 90.00 90.00 90.00°
Space group P4/mmm (No. 123)
Inequivalent atoms, fractional coordinates:
Al 0.000 0.000 0.000 [1 per cell]
V 0.000 0.500 0.500 [2 per cell]
Si 0.000 0.000 0.500 [1 per cell]
W 0.500 0.500 0.000 [1 per cell]

Output
Volume   16.5 Å³/atom
Electronic total energy   -35.203 eV per cell


# 8
Computed, not measured: a relaxed Y2AlVSi crystal at the PBE level of DFT.

Cell: 5.264 5.264 4.574 Å, 90.00 90.00 90.00°
Space group P4/mmm (No. 123)
Inequivalent atoms, fractional coordinates:
Y 0.000 0.500 0.000 [2 per cell]
Al 0.000 0.000 0.000 [1 per cell]
V 0.000 0.000 0.500 [1 per cell]
Si 0.500 0.500 0.500 [1 per cell]

Output
Volume   25.4 Å³/atom
Electronic total energy   -28.383 eV per cell


# 9
Computed, not measured: a relaxed Al2SiW crystal at the PBE level of DFT.

Cell: 3.470 4.052 8.331 Å, 90.00 90.00 90.00°
Space group Immm (No. 71)
Inequivalent atoms, fractional coordinates:
Al 0.000 0.000 0.244 [4 per cell]
Si 0.000 0.500 0.500 [2 per cell]
W 0.000 0.500 0.000 [2 per cell]

Output
Volume   14.6 Å³/atom
Electronic total energy   -51.704 eV per cell


# 10
Computed, not measured: a relaxed AlSiW crystal at the PBE level of DFT.

Cell: 4.763 8.779 8.280 Å, 90.00 90.00 90.00°
Space group Fdd2 (No. 43)
Inequivalent atoms, fractional coordinates:
Al 0.000 0.000 0.000 [8 per cell]
Si 0.000 0.000 0.678 [8 per cell]
W 0.000 0.000 0.341 [8 per cell]

Output
Volume   14.4 Å³/atom
Electronic total energy   -183.014 eV per cell


# 11
Computed, not measured: a relaxed Al2SiW crystal at the PBE level of DFT.

Cell: 3.417 3.417 5.158 Å, 90.00 90.00 90.00°
Space group P4/mmm (No. 123)
Inequivalent atoms, fractional coordinates:
Al 0.000 0.000 0.248 [2 per cell]
Si 0.500 0.500 0.500 [1 per cell]
W 0.500 0.500 0.000 [1 per cell]

Output
Volume   15.1 Å³/atom
Electronic total energy   -26.200 eV per cell


# 12
Computed, not measured: a relaxed AlSiW2 crystal at the PBE level of DFT.

Cell: 2.8665 2.8665 26.3030 Å, 90.00 90.00 120.00°
Space group R3m (No. 160, hexagonal axes)
Inequivalent atoms, fractional coordinates:
Al 0.0000 0.0000 0.0000 [3 per cell]
Si 0.0000 0.0000 0.7518 [3 per cell]
W 0.0000 0.0000 0.2504 [3 per cell]
W 0.0000 0.0000 0.4954 [3 per cell]

Output
Volume   15.6 Å³/atom
Electronic total energy   -103.652 eV per cell
Polymorph energy (0 for the lowest one)   299 meV/atom


# 13
Computed, not measured: a relaxed AlSiW crystal at the PBE level of DFT.

Cell: 3.693 3.693 6.541 Å, 90.00 90.00 90.00°
Space group P4/nmm (No. 129, origin choice 2)
Inequivalent atoms, fractional coordinates:
Al 0.250 0.750 0.000 [2 per cell]
Si 0.250 0.250 0.300 [2 per cell]
W 0.250 0.250 0.682 [2 per cell]

Output
Volume   14.9 Å³/atom
Electronic total energy   -43.277 eV per cell


# 14
Computed, not measured: a relaxed AlSiW2 crystal at the PBE level of DFT.

Cell: 6.205 6.205 6.205 Å, 90.00 90.00 90.00°
Space group F-43m (No. 216)
Inequivalent atoms, fractional coordinates:
Al 0.000 0.000 0.000 [4 per cell]
Si 0.250 0.250 0.750 [4 per cell]
W 0.000 0.000 0.500 [4 per cell]
W 0.250 0.250 0.250 [4 per cell]

Output
Volume   14.9 Å³/atom
Electronic total energy   -138.114 eV per cell
Polymorph energy (0 for the lowest one)   305 meV/atom


# 15
Computed, not measured: a relaxed AlSiW crystal at the PBE level of DFT.

Cell: 2.725 2.725 12.264 Å, 90.00 90.00 90.00°
Space group I4mm (No. 107)
Inequivalent atoms, fractional coordinates:
Al 0.000 0.000 0.000 [2 per cell]
Si 0.000 0.000 0.327 [2 per cell]
W 0.000 0.000 0.667 [2 per cell]

Output
Volume   15.2 Å³/atom
Electronic total energy   -42.870 eV per cell


# 16
Computed, not measured: a relaxed Al2SiW crystal at the PBE level of DFT.

Cell: 2.844 4.311 5.216 Å, 90.00 104.98 90.00°
Space group Pm (No. 6)
Inequivalent atoms, fractional coordinates:
Al 0.000 0.000 0.000 [1 per cell]
Al 0.329 0.500 0.690 [1 per cell]
Si 0.591 0.500 0.202 [1 per cell]
W 0.724 0.000 0.469 [1 per cell]

Output
Volume   15.4 Å³/atom
Electronic total energy   -25.884 eV per cell


# 17
Computed, not measured: a relaxed AlSiW2 crystal at the PBE level of DFT.

Cell: 3.187 4.188 4.491 Å, 90.00 90.00 90.00°
Space group Pmmm (No. 47)
Inequivalent atoms, fractional coordinates:
Al 0.000 0.000 0.000 [1 per cell]
Si 0.500 0.000 0.500 [1 per cell]
W 0.000 0.500 0.500 [1 per cell]
W 0.500 0.500 0.000 [1 per cell]

Output
Volume   15.0 Å³/atom
Electronic total energy   -34.684 eV per cell
Polymorph energy (0 for the lowest one)   266 meV/atom


# 18
Computed, not measured: a relaxed AlSiW crystal at the PBE level of DFT.

Cell: 3.228 3.228 8.365 Å, 90.00 90.00 90.00°
Space group I4mm (No. 107)
Inequivalent atoms, fractional coordinates:
Al 0.000 0.000 0.000 [2 per cell]
Si 0.000 0.000 0.330 [2 per cell]
W 0.000 0.000 0.677 [2 per cell]

Output
Volume   14.5 Å³/atom
Electronic total energy   -45.498 eV per cell


# 19
Computed, not measured: a relaxed Al8SiW2 crystal at the PBE level of DFT.

Cell: 15.965 3.588 6.296 Å, 90.00 109.89 90.00°
Space group C2/m (No. 12)
Inequivalent atoms, fractional coordinates:
Al 0.044 0.000 0.215 [4 per cell]
Al 0.129 0.000 0.664 [4 per cell]
Al 0.187 0.500 0.394 [4 per cell]
Al 0.231 0.000 0.132 [4 per cell]
Si 0.000 0.500 0.500 [2 per cell]
W 0.097 0.500 0.942 [4 per cell]

Output
Volume   15.4 Å³/atom
Electronic total energy   -124.209 eV per cell


# 20
Computed, not measured: a relaxed Al3SiW crystal at the PBE level of DFT.

Cell: 4.573 4.573 4.573 Å, 90.00 90.00 90.00°
Space group Pm-3m (No. 221)
Inequivalent atoms, fractional coordinates:
Al 0.000 0.000 0.500 [3 per cell]
Si 0.000 0.000 0.000 [1 per cell]
W 0.500 0.500 0.500 [1 per cell]

Output
Volume   19.1 Å³/atom
Electronic total energy   -22.952 eV per cell
Polymorph energy (0 for the lowest one)   332 meV/atom


# 21
Computed, not measured: a relaxed AlSiW2 crystal at the PBE level of DFT.

Cell: 6.179 6.179 6.179 Å, 90.00 90.00 90.00°
Space group Fm-3m (No. 225)
Inequivalent atoms, fractional coordinates:
Al 0.000 0.000 0.000 [4 per cell]
Si 0.000 0.000 0.500 [4 per cell]
W 0.250 0.250 0.250 [8 per cell]

Output
Volume   14.7 Å³/atom
Electronic total energy   -136.340 eV per cell
Polymorph energy (0 for the lowest one)   415 meV/atom


# 22
Computed, not measured: a relaxed AlSiW2 crystal at the PBE level of DFT.

Cell: 2.738 4.462 5.019 Å, 90.00 105.42 90.00°
Space group Pm (No. 6)
Inequivalent atoms, fractional coordinates:
Al 0.000 0.000 0.000 [1 per cell]
Si 0.141 0.500 0.295 [1 per cell]
W 0.409 0.500 0.818 [1 per cell]
W 0.730 0.000 0.475 [1 per cell]

Output
Volume   14.8 Å³/atom
Electronic total energy   -34.784 eV per cell
Polymorph energy (0 for the lowest one)   241 meV/atom


# 23
Computed, not measured: a relaxed AlSiW2 crystal at the PBE level of DFT.

Cell: 2.735 4.017 5.451 Å, 90.00 90.00 90.00°
Space group Pmmm (No. 47)
Inequivalent atoms, fractional coordinates:
Al 0.000 0.000 0.000 [1 per cell]
Si 0.000 0.000 0.500 [1 per cell]
W 0.500 0.500 0.255 [2 per cell]

Output
Volume   15.0 Å³/atom
Electronic total energy   -34.150 eV per cell
Polymorph energy (0 for the lowest one)   399 meV/atom


# 24
Computed, not measured: a relaxed Al2SiW crystal at the PBE level of DFT.

Cell: 4.602 4.602 2.863 Å, 90.00 90.00 90.00°
Space group P4/mmm (No. 123)
Inequivalent atoms, fractional coordinates:
Al 0.000 0.500 0.000 [2 per cell]
Si 0.000 0.000 0.500 [1 per cell]
W 0.500 0.500 0.500 [1 per cell]

Output
Volume   15.2 Å³/atom
Electronic total energy   -25.331 eV per cell


# 25
Computed, not measured: a relaxed Al2SiW crystal at the PBE level of DFT.

Cell: 5.291 8.139 2.795 Å, 90.00 90.00 90.00°
Space group Cmmm (No. 65)
Inequivalent atoms, fractional coordinates:
Al 0.250 0.250 0.000 [4 per cell]
Si 0.000 0.000 0.500 [2 per cell]
W 0.000 0.500 0.500 [2 per cell]

Output
Volume   15.0 Å³/atom
Electronic total energy   -51.100 eV per cell


# 26
Computed, not measured: a relaxed Al2SiW crystal at the PBE level of DFT.

Cell: 3.431 4.052 4.243 Å, 90.00 90.00 90.00°
Space group Pmmm (No. 47)
Inequivalent atoms, fractional coordinates:
Al 0.000 0.000 0.000 [1 per cell]
Al 0.500 0.500 0.000 [1 per cell]
Si 0.000 0.500 0.500 [1 per cell]
W 0.500 0.000 0.500 [1 per cell]

Output
Volume   14.7 Å³/atom
Electronic total energy   -25.280 eV per cell


# 27
Computed, not measured: a relaxed Al3SiW crystal at the PBE level of DFT.

Cell: 4.858 4.858 4.858 Å, 90.00 90.00 90.00°
Space group Pm-3m (No. 221)
Inequivalent atoms, fractional coordinates:
Al 0.000 0.000 0.500 [3 per cell]
Si 0.500 0.500 0.500 [1 per cell]
W 0.000 0.000 0.000 [1 per cell]

Output
Volume   22.9 Å³/atom
Electronic total energy   -24.611 eV per cell
Polymorph energy (0 for the lowest one)   0 meV/atom


# 28
Computed, not measured: a relaxed AlSiW crystal at the PBE level of DFT.

Cell: 3.477 4.282 12.239 Å, 90.00 90.00 90.00°
Space group Fmm2 (No. 42)
Inequivalent atoms, fractional coordinates:
Al 0.000 0.000 0.000 [4 per cell]
Si 0.000 0.000 0.672 [4 per cell]
W 0.000 0.000 0.331 [4 per cell]

Output
Volume   15.2 Å³/atom
Electronic total energy   -85.954 eV per cell


# 29
Computed, not measured: a relaxed Al2SiW crystal at the PBE level of DFT.

Cell: 3.500 4.292 8.152 Å, 90.00 90.00 90.00°
Space group Cmmm (No. 65)
Inequivalent atoms, fractional coordinates:
Al 0.000 0.000 0.248 [4 per cell]
Si 0.000 0.500 0.000 [2 per cell]
W 0.000 0.500 0.500 [2 per cell]

Output
Volume   15.3 Å³/atom
Electronic total energy   -50.778 eV per cell